#A
Zn2SiCl, optimized geometry, DFT PBE; calculated volume = 74.09 Å³/f.u.
1.0
0.0000 3.3335 3.3335
3.3335 0.0000 3.3335
3.3335 3.3335 0.0000
Zn Si Cl
2 1 1
Cartesian
1.6668 1.6668 1.6668
5.0003 5.0003 5.0003
0.0000 0.0000 0.0000
3.3335 3.3335 3.3335



#B
Zn2SiCl, optimized geometry, DFT PBE; calculated volume = 80.08 Å³/f.u.
1.0
-1.8312 1.8312 5.9699
1.8312 -1.8312 5.9699
1.8312 1.8312 -5.9699
Zn Si Cl
2 1 1
Cartesian
0.0000 0.0000 0.0000
0.0000 1.8312 2.9850
0.0000 0.0000 5.9699
1.8312 0.0000 2.9850



#C
Zn2SiCl, optimized geometry, DFT PBE; calculated volume = 72.10 Å³/f.u.
1.0
3.1852 0.0000 0.0000
0.0000 4.4050 0.0000
0.0000 0.0000 5.1389
Zn Si Cl
2 1 1
Cartesian
0.0000 0.0000 0.0000
1.5926 2.2025 2.5695
0.0000 0.0000 2.5695
1.5926 2.2025 0.0000



#D
Zn2SiCl, optimized geometry, DFT PBE; calculated volume = 73.43 Å³/f.u.
1.0
0.0000 3.3236 3.3236
3.3236 0.0000 3.3236
3.3236 3.3236 0.0000
Zn Si Cl
2 1 1
Cartesian
0.0000 0.0000 0.0000
1.6618 1.6618 1.6618
4.9854 4.9854 4.9854
3.3236 3.3236 3.3236



Most stable: #C



#A
Zn2SiCl, optimized geometry, DFT PBE; calculated volume = 73.74 Å³/f.u.
1.0
-2.2331 2.2331 3.6967
2.2331 -2.2331 3.6967
2.2331 2.2331 -3.6967
Zn Si Cl
2 1 1
Cartesian
2.2331 0.0000 1.8483
0.0000 2.2331 1.8483
0.0000 0.0000 0.0000
0.0000 0.0000 3.6967



#B
Zn2SiCl, optimized geometry, DFT PBE; calculated volume = 74.74 Å³/f.u.
1.0
2.8784 0.0000 0.0000
0.0000 5.4789 0.0000
-0.4502 0.0000 4.7390
Zn Si Cl
2 1 1
Cartesian
0.5832 0.0000 1.1841
1.8450 0.0000 3.5549
0.0000 2.7394 0.0000
-0.2251 2.7394 2.3695



Most stable: #B